Entry 1:
# La3Tb7Tm2

An optimized crystal structure of La3Tb7Tm2 (PBE, the Alexandria database).

a b c (Å): 6.549 6.549 12.014
angles (deg): 74.18 74.18 60.00
Element x y z (fractional)
Tb1 0.500 0.500 0.500
Tb2 0.583 0.583 0.751
Tb3 0.417 0.417 0.249
Tm1 0.667 0.667 0.000
La1 0.156 0.156 0.532
Tb4 0.918 0.417 0.249
Tb5 0.082 0.583 0.751
La2 0.000 0.000 0.000
Tm2 0.333 0.333 0.000
La3 0.844 0.844 0.468
Tb6 0.417 0.918 0.249
Tb7 0.583 0.082 0.751

## Properties
Final energy = -4.409 eV per atom
Energy of formation = 3.233 eV per formula unit


Entry 2:
# La4Tb7Tm

An optimized crystal structure of La4Tb7Tm (PBE, the Alexandria database).

a b c (Å): 3.619 3.619 35.381
angles (deg): 90.00 90.00 120.00
Element x y z (fractional)
Tb1 0.333 0.667 0.169
La1 0.667 0.333 0.084
Tb2 0.333 0.667 0.420
La2 0.333 0.667 0.916
Tb3 0.000 0.000 0.250
La3 0.333 0.667 0.665
Tb4 0.000 0.000 0.750
Tb5 0.667 0.333 0.580
La4 0.667 0.333 0.335
Tb6 0.667 0.333 0.831
Tb7 0.000 0.000 0.000
Tm1 0.000 0.000 0.500

## Properties
Final energy = -4.696 eV per atom
Energy above the most stable polymorph in this dataset = 0 meV per atom
Energy of formation = 0.247 eV per formula unit